A plane-wave DFT calculation with PBE was carried out for a relaxed MgPd2Se4 crystal.

As for the uncorrected formation energy: -0.437 eV per atom. As for the spin magnetization: 0.0 μB per cell. Its space group is No. 12.

Cell: 7.6869 7.6869 7.6773 Å, 119.84 119.84 59.93°
Last column: nearest neighbours and their distance in Å.
Fractional positions:
Mg 0.1246 0.1246 0.3764  4 Se 2.61-2.62
Mg 0.8754 0.8754 0.6236  4 Se 2.61-2.62
Pd 0.0000 0.5000 0.0000  6 Se 2.57-2.58
Pd 0.5000 0.0000 0.0000  6 Se 2.57-2.58
Pd 0.5000 0.5000 0.0000  6 Se 2.58
Pd 0.5000 0.5000 0.5000  6 Se 2.57-2.58
Se 0.2622 0.7078 0.2358  3 Pd 2.57-2.58, 1 Mg 2.62
Se 0.2641 0.2641 0.2384  3 Pd 2.58, 1 Mg 2.61
Se 0.2645 0.2645 0.7928  3 Pd 2.57-2.58, 1 Mg 2.62
Se 0.2922 0.7378 0.7642  3 Pd 2.57-2.58, 1 Mg 2.62
Se 0.7078 0.2622 0.2358  3 Pd 2.57-2.58, 1 Mg 2.62
Se 0.7355 0.7355 0.2072  3 Pd 2.57-2.58, 1 Mg 2.62
Se 0.7359 0.7359 0.7616  3 Pd 2.58, 1 Mg 2.61
Se 0.7378 0.2922 0.7642  3 Pd 2.57-2.58, 1 Mg 2.62

---

A plane-wave DFT calculation with PBE was carried out for a relaxed SrMgPdSe2 crystal.

As for the uncorrected formation energy: -0.002 eV per atom. As for the spin magnetization: 0.0 μB per cell. Its space group is No. 123.

Cell: 4.8997 4.8997 6.1301 Å, 90.00 90.00 90.00°
Last column: nearest neighbours and their distance in Å.
Fractional positions:
Sr 0.0000 0.0000 0.0000  2 Mg 3.07
Mg 0.0000 0.0000 0.5000  4 Se 2.45
Pd 0.5000 0.5000 0.0000  4 Sr 3.46
Se 0.0000 0.5000 0.5000  2 Mg 2.45
Se 0.5000 0.0000 0.5000  2 Mg 2.45

---

A plane-wave DFT calculation with PBE was carried out for a relaxed Mg3SiPd crystal.

As for the distance to the lowest polymorph of the same formula: 0.0822 eV per atom. As for the uncorrected formation energy: 0.248 eV per atom. As for the spin magnetization: 0.0 μB per cell. Its space group is No. 221.

Cell: 4.9056 4.9056 4.9056 Å, 90.00 90.00 90.00°
Last column: nearest neighbours and their distance in Å.
Fractional positions:
Mg 0.0000 0.0000 0.5000  2 Si 2.45
Mg 0.0000 0.5000 0.0000  2 Si 2.45
Mg 0.5000 0.0000 0.0000  2 Si 2.45
Si 0.0000 0.0000 0.0000  6 Mg 2.45
Pd 0.5000 0.5000 0.5000  12 Mg 3.47

---

A plane-wave DFT calculation with PBE was carried out for a relaxed MgSi2Pd2 crystal.

As for the uncorrected formation energy: -0.312 eV per atom. As for the spin magnetization: 0.0 μB per cell. Its space group is No. 127.

Cell: 7.3429 7.3429 2.9222 Å, 90.00 90.00 90.00°
Last column: nearest neighbours and their distance in Å.
Fractional positions:
Mg 0.0000 0.0000 0.0000  4 Pd 2.85, 2 Mg 2.92, 8 Si 3.12
Mg 0.5000 0.5000 0.0000  4 Pd 2.85, 2 Mg 2.92, 8 Si 3.12
Si 0.1601 0.3399 0.5000  6 Pd 2.57-2.63
Si 0.3399 0.8399 0.5000  6 Pd 2.57-2.63
Si 0.6601 0.1601 0.5000  6 Pd 2.57-2.63
Si 0.8399 0.6601 0.5000  6 Pd 2.57-2.63
Pd 0.1369 0.6369 0.0000  6 Si 2.57-2.63, 1 Pd 2.84, 2 Mg 2.85
Pd 0.3631 0.1369 0.0000  6 Si 2.57-2.63, 1 Pd 2.84, 2 Mg 2.85
Pd 0.6369 0.8631 0.0000  6 Si 2.57-2.63, 1 Pd 2.84, 2 Mg 2.85
Pd 0.8631 0.3631 0.0000  6 Si 2.57-2.63, 1 Pd 2.84, 2 Mg 2.85

---

A plane-wave DFT calculation with PBE was carried out for a relaxed Mg2Si2Pd crystal.

As for the uncorrected formation energy: -0.362 eV per atom. As for the spin magnetization: 0.0 μB per cell. Its space group is No. 127.

Cell: 6.3512 6.3512 4.2182 Å, 90.00 90.00 90.00°
Last column: nearest neighbours and their distance in Å.
Fractional positions:
Mg 0.1746 0.3254 0.0000  6 Si 2.72-2.89
Mg 0.3254 0.8254 0.0000  6 Si 2.72-2.89
Mg 0.6746 0.1746 0.0000  6 Si 2.72-2.89
Mg 0.8254 0.6746 0.0000  6 Si 2.72-2.89
Si 0.1336 0.6336 0.5000  1 Si 2.40, 2 Pd 2.48
Si 0.3664 0.1336 0.5000  1 Si 2.40, 2 Pd 2.48
Si 0.6336 0.8664 0.5000  1 Si 2.40, 2 Pd 2.48
Si 0.8664 0.3664 0.5000  1 Si 2.40, 2 Pd 2.48
Pd 0.0000 0.0000 0.5000  4 Si 2.48
Pd 0.5000 0.5000 0.5000  4 Si 2.48

---

A plane-wave DFT calculation with PBE was carried out for a relaxed MgSiPd2 crystal.

As for the uncorrected formation energy: -0.398 eV per atom. As for the spin magnetization: 0.0 μB per cell. Its space group is No. 122.

Cell: 5.6830 5.6830 5.6830 Å, 104.04 104.04 120.99°
Last column: nearest neighbours and their distance in Å.
Fractional positions:
Mg 0.0000 0.0000 0.0000  2 Si 2.80, 8 Pd 2.84-3.05
Mg 0.7500 0.2500 0.5000  2 Si 2.80, 8 Pd 2.84-3.05
Si 0.2500 0.7500 0.5000  4 Pd 2.33
Si 0.5000 0.5000 0.0000  4 Pd 2.33
Pd 0.1797 0.6250 0.0547  2 Si 2.33
Pd 0.3750 0.4297 0.5547  2 Si 2.33
Pd 0.5703 0.1250 0.9453  2 Si 2.33
Pd 0.8750 0.8203 0.4453  2 Si 2.33

---

A plane-wave DFT calculation with PBE was carried out for a relaxed MgSi2Pd4 crystal.

As for the uncorrected formation energy: -0.663 eV per atom. As for the spin magnetization: 0.0 μB per cell. Its space group is No. 62.

Cell: 17.6018 4.0819 5.9763 Å, 90.00 90.00 90.00°
Last column: nearest neighbours and their distance in Å.
Fractional positions:
Mg 0.1293 0.2500 0.0184  8 Pd 2.76-3.07, 2 Si 2.95
Mg 0.3707 0.7500 0.5184  8 Pd 2.76-3.07, 2 Si 2.95
Mg 0.6293 0.2500 0.4816  8 Pd 2.76-3.07, 2 Si 2.95
Mg 0.8707 0.7500 0.9816  8 Pd 2.76-3.07, 2 Si 2.95
Si 0.0416 0.7500 0.2624  7 Pd 2.45-2.57
Si 0.2084 0.2500 0.5558  7 Pd 2.34-2.58
Si 0.2916 0.7500 0.0558  7 Pd 2.34-2.58
Si 0.4584 0.2500 0.7624  7 Pd 2.45-2.57
Si 0.5416 0.7500 0.2376  7 Pd 2.45-2.57
Si 0.7084 0.2500 0.9442  7 Pd 2.34-2.58
Si 0.7916 0.7500 0.4442  7 Pd 2.34-2.58
Si 0.9584 0.2500 0.7376  7 Pd 2.45-2.57
Pd 0.0326 0.7500 0.8541  3 Si 2.45-2.52
Pd 0.0743 0.2500 0.5058  4 Si 2.38-2.57
Pd 0.1811 0.7500 0.3043  4 Si 2.45-2.58
Pd 0.1968 0.7500 0.7809  3 Si 2.34-2.45
Pd 0.3031 0.2500 0.2809  3 Si 2.34-2.45
Pd 0.3189 0.2500 0.8043  4 Si 2.45-2.58
Pd 0.4257 0.7500 0.0058  4 Si 2.38-2.57
Pd 0.4674 0.2500 0.3541  3 Si 2.45-2.52
Pd 0.5326 0.7500 0.6459  3 Si 2.45-2.52
Pd 0.5743 0.2500 0.9942  4 Si 2.38-2.57
Pd 0.6811 0.7500 0.1957  4 Si 2.45-2.58
Pd 0.6968 0.7500 0.7191  3 Si 2.34-2.45
Pd 0.8032 0.2500 0.2191  3 Si 2.34-2.45
Pd 0.8189 0.2500 0.6957  4 Si 2.45-2.58
Pd 0.9257 0.7500 0.4942  4 Si 2.38-2.57
Pd 0.9674 0.2500 0.1459  3 Si 2.45-2.52

---

A plane-wave DFT calculation with PBE was carried out for a relaxed Mg3Si4Pd7 crystal.

As for the uncorrected formation energy: -0.622 eV per atom. As for the spin magnetization: 0.0 μB per cell. Its space group is No. 12.

Cell: 7.9308 7.9308 9.0254 Å, 123.45 123.45 28.69°
Last column: nearest neighbours and their distance in Å.
Fractional positions:
Mg 0.0000 0.0000 0.0000  6 Si 2.86-2.99, 6 Pd 3.00-3.11
Mg 0.3382 0.3382 0.3334  8 Pd 2.84-3.14, 4 Si 2.95-3.07
Mg 0.6618 0.6618 0.6666  8 Pd 2.84-3.14, 4 Si 2.95-3.07
Si 0.1095 0.1095 0.3834  6 Pd 2.44-2.54
Si 0.3349 0.3349 0.9339  5 Pd 2.35-2.44
Si 0.6651 0.6651 0.0661  5 Pd 2.35-2.44
Si 0.8905 0.8905 0.6166  6 Pd 2.44-2.54
Pd 0.0000 0.0000 0.5000  2 Si 2.44
Pd 0.1700 0.1700 0.9150  3 Si 2.42-2.44
Pd 0.2951 0.2951 0.6412  4 Si 2.35-2.54
Pd 0.4914 0.4914 0.2425  3 Si 2.43-2.48
Pd 0.5085 0.5085 0.7575  3 Si 2.43-2.48
Pd 0.7049 0.7049 0.3588  4 Si 2.35-2.54
Pd 0.8300 0.8300 0.0850  3 Si 2.42-2.44

---

A plane-wave DFT calculation with PBE was carried out for a relaxed Mg2SiPd8 crystal.

As for the uncorrected formation energy: -0.511 eV per atom. As for the spin magnetization: 0.0 μB per cell. Its space group is No. 12.

Cell: 7.6281 7.6281 5.7507 Å, 112.01 112.01 34.21°
Last column: nearest neighbours and their distance in Å.
Fractional positions:
Mg 0.1899 0.1899 0.1894  12 Pd 2.74-2.93
Mg 0.8101 0.8101 0.8106  12 Pd 2.74-2.93
Si 0.5000 0.5000 0.5000  4 Pd 2.34
Pd 0.0003 0.0003 0.2487  2 Si 2.67, 8 Pd 2.83-2.89, 2 Mg 2.92-2.93
Pd 0.9997 0.9997 0.7513  2 Si 2.67, 8 Pd 2.83-2.89, 2 Mg 2.92-2.93
Pd 0.1817 0.1817 0.6820  8 Pd 2.77-2.84, 4 Mg 2.83-2.88
Pd 0.3662 0.3662 0.1049  1 Si 2.34
Pd 0.3655 0.3655 0.6258  1 Si 2.34
Pd 0.6345 0.6345 0.3742  1 Si 2.34
Pd 0.6338 0.6338 0.8951  1 Si 2.34
Pd 0.8183 0.8183 0.3180  8 Pd 2.77-2.84, 4 Mg 2.83-2.88

---

A plane-wave DFT calculation with PBE was carried out for a relaxed MgSi2Pd7 crystal.

As for the distance to the lowest polymorph of the same formula: 0.0000 eV per atom. As for the uncorrected formation energy: -0.634 eV per atom. As for the spin magnetization: 0.0 μB per cell. Its space group is No. 139.

Cell: 10.1614 10.1614 10.1614 Å, 157.28 157.28 32.36°
Last column: nearest neighbours and their distance in Å.
Fractional positions:
Mg 0.0000 0.0000 0.0000  12 Pd 2.83-2.85
Si 0.3272 0.3272 0.0000  8 Pd 2.41-2.51
Si 0.6728 0.6728 0.0000  8 Pd 2.41-2.51
Pd 0.1036 0.6036 0.5000  2 Si 2.41
Pd 0.2500 0.7500 0.5000  4 Si 2.51
Pd 0.3964 0.8964 0.5000  2 Si 2.41
Pd 0.5000 0.5000 0.0000  4 Mg 2.83, 8 Pd 2.85
Pd 0.6036 0.1036 0.5000  2 Si 2.41
Pd 0.7500 0.2500 0.5000  4 Si 2.51
Pd 0.8964 0.3964 0.5000  2 Si 2.41

---

A plane-wave DFT calculation with PBE was carried out for a relaxed MgSiPd2 crystal.

As for the uncorrected formation energy: -0.603 eV per atom. As for the spin magnetization: 0.0 μB per cell. Its space group is No. 123.

Cell: 4.2676 4.2676 3.2393 Å, 90.00 90.00 90.00°
Last column: nearest neighbours and their distance in Å.
Fractional positions:
Mg 0.0000 0.0000 0.0000  8 Pd 2.68
Si 0.5000 0.5000 0.0000  8 Pd 2.68
Pd 0.0000 0.5000 0.5000  4 Si 2.68, 4 Mg 2.68
Pd 0.5000 0.0000 0.5000  4 Si 2.68, 4 Mg 2.68

---

A plane-wave DFT calculation with PBE was carried out for a relaxed Mg5Si2Pd12 crystal.

As for the uncorrected formation energy: -0.590 eV per atom. As for the spin magnetization: 0.0 μB per cell. Its space group is No. 12.

Cell: 7.4523 7.4523 5.8268 Å, 92.06 92.06 68.46°
Last column: nearest neighbours and their distance in Å.
Fractional positions:
Mg 0.0000 0.0000 0.0000  6 Pd 2.65-2.70
Mg 0.2467 0.2467 0.0491  10 Pd 2.79-2.95, 3 Mg 2.97-3.11
Mg 0.3173 0.3173 0.5688  9 Pd 2.62-2.91
Mg 0.6827 0.6827 0.4312  9 Pd 2.62-2.91
Mg 0.7533 0.7533 0.9509  10 Pd 2.79-2.95, 3 Mg 2.97-3.11
Si 0.2516 0.7484 0.5000  8 Pd 2.46-2.59
Si 0.7484 0.2516 0.5000  8 Pd 2.46-2.59
Pd 0.0553 0.5849 0.2997  1 Si 2.46, 2 Mg 2.72-2.73, 2 Pd 2.74-2.75
Pd 0.1024 0.1024 0.4088  2 Si 2.53, 3 Mg 2.65-2.81, 5 Pd 2.75-2.80
Pd 0.1699 0.6263 0.8694  1 Si 2.54, 2 Mg 2.70-2.75, 4 Pd 2.70-2.82
Pd 0.3737 0.8301 0.1306  1 Si 2.54, 2 Mg 2.70-2.75, 4 Pd 2.70-2.82
Pd 0.4151 0.9447 0.7003  1 Si 2.46, 2 Mg 2.72-2.73, 2 Pd 2.74-2.75
Pd 0.4595 0.4595 0.2474  2 Si 2.59, 2 Mg 2.62-2.82, 4 Pd 2.70-2.83
Pd 0.5405 0.5405 0.7526  2 Si 2.59, 2 Mg 2.62-2.82, 4 Pd 2.70-2.83
Pd 0.5849 0.0553 0.2997  1 Si 2.46, 2 Mg 2.72-2.73, 2 Pd 2.74-2.75
Pd 0.6263 0.1699 0.8694  1 Si 2.54, 2 Mg 2.70-2.75, 4 Pd 2.70-2.82
Pd 0.8301 0.3737 0.1306  1 Si 2.54, 2 Mg 2.70-2.75, 4 Pd 2.70-2.82
Pd 0.8976 0.8976 0.5912  2 Si 2.53, 3 Mg 2.65-2.81, 5 Pd 2.75-2.80
Pd 0.9447 0.4151 0.7003  1 Si 2.46, 2 Mg 2.72-2.73, 2 Pd 2.74-2.75